Computed, not measured: a relaxed structure of Ag2Te3 at the GGA-PBE level of DFT.

Cell: 11.1528 15.0069 6.9342 Å, 90.00 90.00 90.00°
Space group Fdd2 (No. 43)
Symmetry-distinct sites (fractional):
Ag: 0.1238 0.4395 0.0000 x16
Te: 0.0000 0.0000 0.8365 x8
Te: 0.0419 0.1881 0.3667 x16

Uncorrected energy = -0.2157 Ry/atom
Formation energy without anion corrections = 90 meV per atom
Density of states at the Fermi level = 3.49 states/eV/f.u.

Computed, not measured: a relaxed structure of LaMn2Tc at the GGA-PBE level of DFT.

Cell: 6.5787 6.5787 6.5787 Å, 90.00 90.00 90.00°
Space group F-43m (No. 216)
Symmetry-distinct sites (fractional):
La: 0.0000 0.0000 0.0000 x4
Mn: 0.0000 0.0000 0.5000 x4
Mn: 0.2500 0.2500 0.2500 x4
Tc: 0.2500 0.2500 0.7500 x4

Uncorrected energy = -0.5794 Ry/atom
Polymorph energy (0 for the lowest one) = 0.334 eV per atom
Density of states at the Fermi level = 7.36 states/eV/f.u.
E_form = 0.53 eV per atom

Computed, not measured: a relaxed structure of ZnSiNi at the GGA-PBE level of DFT.

Cell: 2.6020 15.9733 3.8896 Å, 90.00 90.00 90.00°
Space group Cmcm (No. 63)
Symmetry-distinct sites (fractional):
Zn: 0.0000 0.2090 0.2500 x4
Si: 0.0000 0.0681 0.7500 x4
Ni: 0.0000 0.4330 0.7500 x4

Uncorrected energy = -0.3223 Ry/atom
Formation energy without anion corrections = -225 meV per atom
Density of states at the Fermi level = 0.71 states/eV/f.u.